VASP calculation (GGA-PBE) on crystalline NaCdCuRh at its relaxed geometry.

Computed properties:
The energy relative to the elements is 0.13 eV/atom.

abc: 4.572 4.572 4.572
angles: 60.00 60.00 60.00
Element x y z (fractional)
Rh 0.000 0.000 0.000
Cd 0.250 0.250 0.250
Na 0.500 0.500 0.500
Cu 0.750 0.750 0.750

---

VASP calculation (GGA-PBE) on crystalline TiSnSN2 at its relaxed geometry.

Computed properties:
The energy above the lowest structure with this stoichiometry is 0.00 eV/f.u. The calculation puts the uncorrected formation energy at 0.045 eV/atom.

abc: 3.944 3.944 5.121
angles: 90.00 90.00 90.00
Site moments in Bohr magnetons follow the coordinates.
Element x y z (fractional)
N 0.000 0.500 0.000  0.19
N 0.500 0.000 0.000  0.19
Sn 0.500 0.500 0.500  0.00
S 0.000 0.000 0.500  0.01
Ti 0.000 0.000 0.000  -0.05

---

VASP calculation (GGA-PBE) on crystalline PuCdGe at its relaxed geometry.

Computed properties:
The energy relative to the elements is -0.18 eV/atom.

abc: 3.392 4.812 4.812
angles: 120.00 90.00 90.00
Site moments in Bohr magnetons follow the coordinates.
Element x y z (fractional)
Pu 0.667 0.667 0.333  5.50
Ge 0.166 0.000 0.000  -0.01
Cd 0.167 0.333 0.667  0.03

---

VASP calculation (GGA-PBE) on crystalline CdW2Cl2 at its relaxed geometry.

Computed properties:
The energy above the lowest structure with this stoichiometry is 0.00 eV/f.u. The calculation puts the uncorrected formation energy at 0.813 eV/atom.

abc: 4.232 4.232 6.417
angles: 70.75 70.75 90.00
Element x y z (fractional)
Cd 0.000 0.000 0.000
W 0.400 0.400 0.199
W 0.600 0.600 0.801
Cl 0.750 0.250 0.500
Cl 0.250 0.750 0.500